Li2LaAu | PBE | optimized geometry

Computed properties:
ΔH_f (0 K), eV per atom: -0.3161
Density of states at the Fermi level, states/eV/f.u.: 2.76
Space group: No. 71

Lattice parameters (Å, degrees): 6.089 6.089 6.089 146.30 130.03 61.64
Fractional coordinates of all 4 atoms:
Au 0.750 0.250 0.500
La 0.250 0.750 0.500
Li 0.956 0.956 0.000
Li 0.544 0.544 0.000

Li2LaAu | PBE | optimized geometry

Computed properties:
ΔH_f (0 K), eV per atom: -0.1817
Density of states at the Fermi level, states/eV/f.u.: 2.93
Space group: No. 12

Lattice parameters (Å, degrees): 4.284 6.381 4.202 71.10 89.08 109.30
Fractional coordinates of all 4 atoms:
Au 0.000 0.500 0.500
La 0.500 0.500 0.000
Li 0.000 0.000 0.000
Li 0.500 0.000 0.500

LiLa4Au3 | PBE | optimized geometry

Computed properties:
ΔH_f (0 K), eV per atom: -0.5850
Density of states at the Fermi level, states/eV/f.u.: 8.09
Space group: No. 25

Lattice parameters (Å, degrees): 4.009 4.882 11.528 90.00 90.00 90.00
Fractional coordinates of all 8 atoms:
La 0.500 0.500 0.367
La 0.000 0.500 0.856
La 0.000 0.000 0.139
La 0.500 0.000 0.637
Au 0.000 0.500 0.587
Au 0.000 0.000 0.417
Au 0.500 0.000 0.928
Li 0.500 0.500 0.068

LiLa2Au | PBE | optimized geometry

Computed properties:
ΔH_f (0 K), eV per atom: -0.3578
Density of states at the Fermi level, states/eV/f.u.: 4.74
Space group: No. 38

Lattice parameters (Å, degrees): 4.852 4.059 6.018 70.27 90.00 90.00
Fractional coordinates of all 4 atoms:
Li 0.000 0.687 0.501
Au 0.500 0.563 0.750
La 0.000 0.977 0.922
La 0.500 0.274 0.327

LiLaAu3 | PBE | optimized geometry

Computed properties:
ΔH_f (0 K), eV per atom: 0.1029
Density of states at the Fermi level, states/eV/f.u.: 1.87
Space group: No. 221

Lattice parameters (Å, degrees): 5.672 5.672 5.672 90.00 90.00 90.00
Fractional coordinates of all 5 atoms:
Li 0.500 0.500 0.500
Au 0.000 0.500 0.000
Au 0.000 0.000 0.500
Au 0.500 0.000 0.000
La 0.000 0.000 0.000

Li3LaAu | PBE | optimized geometry

Computed properties:
ΔH_f (0 K), eV per atom: -0.0857
Density of states at the Fermi level, states/eV/f.u.: 3.06
Space group: No. 221

Lattice parameters (Å, degrees): 4.884 4.884 4.884 90.00 90.00 90.00
Each line ends with the local moment (μB).
Fractional coordinates of all 5 atoms:
Li 0.000 0.500 0.000  0.01
Li 0.000 0.000 0.500  0.01
Li 0.500 0.000 0.000  0.00
Au 0.000 0.000 0.000  0.02
La 0.500 0.500 0.500  0.27

Li3LaAu | PBE | optimized geometry

Computed properties:
ΔH_f (0 K), eV per atom: 1.1705
Density of states at the Fermi level, states/eV/f.u.: 3.10
Space group: No. 221

Lattice parameters (Å, degrees): 5.608 5.608 5.608 90.00 90.00 90.00
Each line ends with the local moment (μB).
Fractional coordinates of all 5 atoms:
Li 0.000 0.500 0.000  0.05
Li 0.000 0.000 0.500  0.05
Li 0.500 0.000 0.000  0.07
Au 0.500 0.500 0.500  0.00
La 0.000 0.000 0.000  1.02

Li4LaAu4 | PBE | optimized geometry

Computed properties:
ΔH_f (0 K), eV per atom: -0.5216
Density of states at the Fermi level, states/eV/f.u.: 3.50
Space group: No. 87

Lattice parameters (Å, degrees): 4.642 8.373 8.373 90.00 90.00 90.00
Fractional coordinates of all 18 atoms:
Li 0.500 0.424 0.872
Li 0.000 0.628 0.924
Li 0.500 0.576 0.128
Li 0.000 0.076 0.628
Li 0.500 0.872 0.576
Li 0.000 0.924 0.372
Li 0.000 0.372 0.076
Li 0.500 0.128 0.424
La 0.000 0.000 0.000
La 0.500 0.500 0.500
Au 0.500 0.866 0.233
Au 0.500 0.134 0.767
Au 0.000 0.733 0.634
Au 0.000 0.366 0.733
Au 0.000 0.634 0.267
Au 0.500 0.233 0.134
Au 0.500 0.767 0.866
Au 0.000 0.267 0.366